(1)
4
Lattice="-3.2355 -1.4686 -3.1892 2.8776 -3.5941 -1.2643 -1.2530 -1.7308 2.0682" Properties=species:S:1:pos:R:3 comment="TlMo2Ru (PBE-GGA, relaxed)" space_group="P4/mmm, No. 123" ef_ev_per_atom=0.7971 magnetic_moment_mub_per_fu=0.00 e_above_lowest_polymorph_mev_per_atom=405.9 pbc="T T T"
Tl 0.8123 -2.6624 0.4020
Mo 0.0000 0.0000 0.0000
Mo -0.1790 -2.5313 -2.2268
Ru -2.2443 -1.5997 -0.5605

---

(2)
4
Lattice="-1.6174 3.0201 -0.9621 -5.3684 -2.3755 1.5680 0.6884 2.1642 5.6360" Properties=species:S:1:pos:R:3 comment="AcTbBi2 (PBE-GGA, relaxed)" space_group="P4/mmm, No. 123" ef_ev_per_atom=-0.6739 magnetic_moment_mub_per_fu=0.00 e_above_lowest_polymorph_mev_per_atom=251.6 pbc="T T T"
Ac -0.8087 1.5100 -0.4811
Tb -3.1487 1.4044 3.1209
Bi -2.6842 -1.1878 0.7840
Bi 0.3442 1.0821 2.8180

---

(3)
6
Lattice="-1.9771 -0.1566 -3.9521 1.6883 -4.0290 -0.6849 -6.1318 -1.0923 5.5844" Properties=species:S:1:pos:R:3 comment="AcTbAl4 (PBE-GGA, relaxed)" space_group="I-4m2, No. 119" ef_ev_per_atom=-0.3713 magnetic_moment_mub_per_fu=0.00 e_above_lowest_polymorph_mev_per_atom=25.3 pbc="T T T"
Tb 0.0000 0.0000 0.0000
Ac -2.2939 -3.6071 1.2905
Al -5.2641 -2.6715 2.7393
Al -1.1565 -2.6064 -1.7919
Al -5.2087 -2.2200 0.2200
Al -3.0445 -1.1217 -0.9062